1.
Compound: SmScTc
Source: OQMD
Functional: PBE
Structure: optimized geometry

The structure in CIF format:
```
data_SmScTc
_cell_length_a 4.638
_cell_length_b 4.638
_cell_length_c 4.638
_cell_angle_alpha 60.00
_cell_angle_beta 60.00
_cell_angle_gamma 60.00
_space_group_name_H-M_alt 'P 1'
_space_group_IT_number 1
_space_group_name_Hall 'P 1'
loop_
_atom_site_label
_atom_site_type_symbol
_atom_site_fract_x
_atom_site_fract_y
_atom_site_fract_z
Sc1 Sc 0.000 0.000 0.000
Sm1 Sm 0.250 0.250 0.250
Tc1 Tc 0.750 0.750 0.750
```

---

2.
Compound: SmThSc
Source: OQMD
Functional: PBE
Structure: optimized geometry

The structure in CIF format:
```
data_SmThSc
_cell_length_a 5.289
_cell_length_b 5.289
_cell_length_c 5.289
_cell_angle_alpha 60.00
_cell_angle_beta 60.00
_cell_angle_gamma 60.00
_space_group_name_H-M_alt 'P 1'
_space_group_IT_number 1
_space_group_name_Hall 'P 1'
loop_
_atom_site_label
_atom_site_type_symbol
_atom_site_fract_x
_atom_site_fract_y
_atom_site_fract_z
Sc1 Sc 0.000 0.000 0.000
Sm1 Sm 0.250 0.250 0.250
Th1 Th 0.750 0.750 0.750
```

---

The following E above lowest polymorph values (in meV/atom) correspond, in order, to the records above: 0 0.
The following DFT formation energy values (in eV/atom) correspond, in order, to the records above: 0.767 0.709.